1.
Material: TlAg6Br8
Method: DFT, PBE
State: relaxed

Cell lengths 7.712, 7.712, 7.712 Å; angles 95.51, 95.51, 95.51 degrees
Atoms (fractional coordinates):
Br1 0.812 0.380 0.112
Br2 0.112 0.812 0.380
Br3 0.316 0.316 0.316
Br4 0.188 0.620 0.888
Br5 0.888 0.188 0.620
Br6 0.684 0.684 0.684
Br7 0.380 0.112 0.812
Br8 0.620 0.888 0.188
Ag1 0.224 0.366 0.642
Ag2 0.642 0.224 0.366
Ag3 0.776 0.634 0.358
Ag4 0.634 0.358 0.776
Ag5 0.366 0.642 0.224
Ag6 0.358 0.776 0.634
Tl1 0.000 0.000 0.000

Computed properties:
For the density of states at the Fermi level, the calculation gives 1.145 states/eV/atom. As for the space group: R-3. Its total magnetization is 0.0 μB per formula unit. The calculation puts the calculated density at 5.5 g cm⁻³. For the distance to the lowest polymorph of the same formula, the calculation gives 0.0000 eV per atom. As for the formation energy from raw total energies: -0.362 eV/atom.



2.
Material: Fe3CuC
Method: DFT, PBE
State: relaxed

Cell lengths 3.760, 3.760, 3.760 Å; angles 90.00, 90.00, 90.00 degrees
Each line ends with the local moment (μB).
Atoms (fractional coordinates):
Cu1 0.500 0.500 0.500  0.18
Fe1 0.500 0.000 0.000  1.48
Fe2 0.000 0.500 0.000  1.71
Fe3 0.000 0.000 0.500  2.01
C1 0.000 0.000 0.000  -0.13

Computed properties:
For the density of states at the Fermi level, the calculation gives 1.085 states/eV/atom. As for the space group: Pm-3m. Its total magnetization is 5.1 μB per formula unit. The calculation puts the calculated density at 7.6 g cm⁻³. Its calculated formation energy is 0.146 eV/atom. For the distance to the lowest polymorph of the same formula, the calculation gives 0.0000 eV per atom.



3.
Material: MnHg4
Method: DFT, PBE
State: relaxed

Cell lengths 8.585, 8.585, 8.585 Å; angles 152.99, 152.99, 38.56 degrees
Each line ends with the local moment (μB).
Atoms (fractional coordinates):
Hg1 0.750 0.250 0.500  0.01
Hg2 0.589 0.589 0.000  0.01
Hg3 0.411 0.411 0.000  0.01
Hg4 0.250 0.750 0.500  0.01
Mn1 0.000 0.000 0.000  4.27

Computed properties:
For the density of states at the Fermi level, the calculation gives 0.500 states/eV/atom. As for the space group: I4/mmm. Its total magnetization is 4.6 μB per formula unit. The calculation puts the calculated density at 10.9 g cm⁻³. Its calculated formation energy is 0.408 eV/atom.



4.
Material: KBaIn2
Method: DFT, PBE
State: relaxed

Cell lengths 7.203, 7.203, 6.092 Å; angles 65.26, 65.26, 32.28 degrees
Atoms (fractional coordinates):
K1 0.476 0.476 0.525
In1 0.711 0.711 0.787
In2 0.031 0.031 0.971
Ba1 0.282 0.282 0.218

Computed properties:
For the density of states at the Fermi level, the calculation gives 0.527 states/eV/atom. As for the space group: Cm. Its total magnetization is 0.0 μB per formula unit. The calculation puts the calculated density at 4.4 g cm⁻³. Its calculated formation energy is -0.225 eV/atom. For the distance to the lowest polymorph of the same formula, the calculation gives 0.0000 eV per atom.



5.
Material: HfAg3Cl9
Method: DFT, PBE
State: relaxed

Cell lengths 7.566, 10.239, 12.554 Å; angles 75.16, 72.46, 68.32 degrees
Each line ends with the local moment (μB).
Atoms (fractional coordinates):
Cl1 0.159 0.562 0.538  0.02
Cl2 0.250 0.918 0.193  -0.11
Cl3 0.639 0.418 0.693  -0.11
Cl4 0.342 0.179 0.305  0.10
Cl5 0.594 0.853 0.629  0.00
Cl6 0.196 0.911 0.502  -0.07
Cl7 0.391 0.411 0.002  -0.07
Cl8 0.925 0.353 0.129  0.00
Cl9 0.672 0.809 0.343  0.00
Cl10 0.867 0.061 0.766  -0.02
Cl11 0.741 0.062 0.038  0.02
Cl12 0.176 0.309 0.843  0.00
Cl13 0.752 0.600 0.898  0.00
Cl14 0.273 0.174 0.583  0.08
Cl15 0.306 0.561 0.266  -0.02
Cl16 0.970 0.674 0.083  0.08
Cl17 0.174 0.679 0.805  0.10
Cl18 0.750 0.100 0.398  0.00
Hf1 0.496 0.989 0.456  0.00
Hf2 0.059 0.489 0.956  0.00
Ag1 0.229 0.754 0.371  -0.26
Ag2 0.646 0.254 0.871  -0.26
Ag3 0.825 0.583 0.675  -0.02
Ag4 0.943 0.865 0.920  0.25
Ag5 0.917 0.083 0.175  -0.02
Ag6 0.272 0.365 0.420  0.25

Computed properties:
For the density of states at the Fermi level, the calculation gives 0.329 states/eV/atom. As for the space group: Cc. Its total magnetization is 0.0 μB per formula unit. The calculation puts the calculated density at 3.2 g cm⁻³. As for the formation energy from raw total energies: -0.905 eV/atom.



6.
Material: Ca2YPtRh
Method: DFT, PBE
State: relaxed

Cell lengths 5.228, 5.236, 5.228 Å; angles 90.00, 90.00, 90.00 degrees
Atoms (fractional coordinates):
Ca1 0.000 0.000 0.500
Ca2 0.500 0.000 0.000
Pt1 0.500 0.500 0.500
Rh1 0.000 0.000 0.000
Y1 0.000 0.500 0.000

Computed properties:
For the density of states at the Fermi level, the calculation gives 0.551 states/eV/atom. As for the space group: P4/mmm. Its total magnetization is 0.0 μB per formula unit. The calculation puts the calculated density at 5.4 g cm⁻³. Its calculated formation energy is -0.177 eV/atom.



7.
Material: ErScIn
Method: DFT, PBE
State: relaxed

Cell lengths 4.621, 4.621, 7.602 Å; angles 90.00, 90.00, 90.00 degrees
Each line ends with the local moment (μB).
Atoms (fractional coordinates):
Er1 0.000 0.500 0.313  0.30
Er2 0.500 0.000 0.687  0.30
Sc1 0.500 0.000 0.255  0.29
Sc2 0.000 0.500 0.745  0.29
In1 0.000 0.000 0.000  0.00
In2 0.500 0.500 0.000  0.00

Computed properties:
For the density of states at the Fermi level, the calculation gives 1.104 states/eV/atom. As for the space group: P4/nmm. Its total magnetization is 0.8 μB per formula unit. The calculation puts the calculated density at 6.7 g cm⁻³. Its calculated formation energy is -0.058 eV/atom. For the distance to the lowest polymorph of the same formula, the calculation gives 0.3103 eV per atom.



8.
Material: Sc5Rh4
Method: DFT, PBE
State: relaxed

Cell lengths 8.008, 8.008, 5.829 Å; angles 90.00, 90.00, 60.00 degrees
Atoms (fractional coordinates):
Rh1 0.616 0.000 0.750
Rh2 0.000 0.384 0.750
Rh3 0.384 0.000 0.250
Rh4 0.000 0.000 0.000
Rh5 0.000 0.000 0.500
Rh6 0.384 0.616 0.750
Rh7 0.000 0.616 0.250
Rh8 0.616 0.384 0.250
Sc1 0.277 0.723 0.250
Sc2 0.000 0.277 0.250
Sc3 0.667 0.667 0.500
Sc4 0.277 0.000 0.750
Sc5 0.723 0.277 0.750
Sc6 0.333 0.333 0.000
Sc7 0.000 0.723 0.750
Sc8 0.333 0.333 0.500
Sc9 0.723 0.000 0.250
Sc10 0.667 0.667 0.000

Computed properties:
For the density of states at the Fermi level, the calculation gives 0.721 states/eV/atom. As for the space group: P6_3/mcm. Its total magnetization is 0.0 μB per formula unit. The calculation puts the calculated density at 6.5 g cm⁻³. Its calculated formation energy is -0.788 eV/atom. For the distance to the lowest polymorph of the same formula, the calculation gives 0.0000 eV per atom.